Entry from Alexandria: crystalline BaSmPd2 at its relaxed geometry (GGA-PBE).

```
BaSmPd2
1.0
5.308 0.000 0.000
0.000 5.308 0.000
0.000 0.000 3.673
Ba Sm Pd
1 1 2
Direct
0.000 0.000 0.000 Ba
0.500 0.500 0.000 Sm
0.000 0.500 0.500 Pd
0.500 0.000 0.500 Pd
```

Calculated values
- crystal system = tetragonal
- space-group type = P4/mmm (123)
- E_form (eV per atom) = -0.53